[1]
The following is a GGA-PBE calculation of a relaxed BeFe5 crystal, from the Alexandria database.

Calculated values
Spin magnetization = 3.20 μB per cell
Calculated total energy = -45.7 eV for the cell shown
Energy of formation from the pure elements = 60 meV per atom
DOS at the Fermi energy = 1.069 states/eV/atom

Unit cell a=4.1903 b=4.1903 c=3.9548 alpha=90.00 beta=90.00 gamma=120.00
With the nearest neighbours (Å) after each atom.
Space group P-62m (No. 189)
One atom of each set of equivalent atoms:
Be1 0.0000 0.0000 0.0000  12 Fe 2.40-2.42
Fe1 0.0000 0.6767 0.5000  10 Fe 2.35-2.46, 2 Be 2.40
Fe2 0.3333 0.6667 0.0000  3 Be 2.42, 9 Fe 2.42-2.43

=====

[2]
The following is a GGA-PBE calculation of a relaxed NaYSN2 crystal, from the Alexandria database.

Calculated values
Spin magnetization = 3.99 μB per cell
Calculated total energy = -24.3 eV for the cell shown
DOS at the Fermi energy = 0.566 states/eV/atom
Formation energy (no corrections) = 0.85 eV per atom

Unit cell a=4.2247 b=4.2247 c=4.7911 alpha=90.00 beta=90.00 gamma=90.00
With the nearest neighbours (Å) after each atom.
Space group P4/mmm (No. 123)
One atom of each set of equivalent atoms:
Na1 0.0000 0.0000 0.0000  4 N 2.11
Y1 0.5000 0.5000 0.5000  4 S 2.99, 8 N 3.19
S1 0.0000 0.0000 0.5000  2 Na 2.40
N1 0.0000 0.5000 0.0000  2 Na 2.11

=====

[3]
The following is a GGA-PBE calculation of a relaxed NdHo4Se5 crystal, from the Alexandria database.

Calculated values
Spin magnetization = 0.00 μB per cell
Calculated total energy = -115.7 eV for the cell shown
DOS at the Fermi energy = 0.447 states/eV/atom
Formation energy (no corrections) = -1.73 eV per atom

Unit cell a=4.0861 b=4.0861 c=29.0504 alpha=90.00 beta=90.00 gamma=90.00
With the nearest neighbours (Å) after each atom.
Space group I4/mmm (No. 139)
One atom of each set of equivalent atoms:
Nd1 0.0000 0.0000 0.0000  6 Se 2.89-3.02
Ho1 0.0000 0.0000 0.2046  6 Se 2.85-2.92
Ho2 0.0000 0.0000 0.4026  6 Se 2.83-2.90
Se1 0.0000 0.0000 0.1040  5 Ho 2.90-2.92, 1 Nd 3.02
Se2 0.0000 0.0000 0.3028  6 Ho 2.85-2.90
Se3 0.0000 0.0000 0.5000  2 Ho 2.83, 4 Nd 2.89

=====

[4]
The following is a GGA-PBE calculation of a relaxed Ba2GaCl crystal, from the Alexandria database.

Calculated values
Spin magnetization = 0.00 μB per cell
Calculated total energy = -38.4 eV for the cell shown
DOS at the Fermi energy = 0.691 states/eV/atom
Formation energy (no corrections) = -1.02 eV per atom

Unit cell a=4.4600 b=4.4600 c=26.7369 alpha=90.00 beta=90.00 gamma=120.00
With the nearest neighbours (Å) after each atom.
Space group R3m (No. 160, hexagonal axes)
One atom of each set of equivalent atoms:
Ba1 0.0000 0.0000 0.0000  3 Ga 3.38, 3 Cl 3.40
Ba2 0.0000 0.0000 0.1697  3 Ga 3.38, 3 Cl 3.46
Ga1 0.0000 0.0000 0.5850  6 Ba 3.38
Cl1 0.0000 0.0000 0.4167  6 Ba 3.40-3.46

=====

[5]
The following is a GGA-PBE calculation of a relaxed Tb5Ho3Mg2 crystal, from the Alexandria database.

Calculated values
Spin magnetization = 0.00 μB per cell
Calculated total energy = -147.3 eV for the cell shown
Energy of formation from the pure elements = 325 meV per atom
DOS at the Fermi energy = 1.313 states/eV/atom

Unit cell a=12.7620 b=15.7887 c=6.3268 alpha=90.00 beta=90.00 gamma=90.00
With the nearest neighbours (Å) after each atom.
Space group Ibam (No. 72)
One atom of each set of equivalent atoms:
Tb1 0.0000 0.0000 0.2500  4 Tb 3.16-3.22
Tb2 0.1522 0.1608 0.0000  1 Mg 2.98, 2 Tb 3.25
Tb3 0.2478 0.5000 0.2500  1 Ho 3.16, 5 Tb 3.16-3.25, 2 Mg 3.20
Ho1 0.0000 0.5000 0.2500  2 Tb 3.16, 2 Ho 3.16, 4 Mg 3.34
Ho2 0.0971 0.2390 0.5000  4 Tb 3.41-3.57, 4 Mg 3.43-3.70
Mg1 0.1346 0.3490 0.0000  3 Tb 2.98-3.20, 2 Ho 3.34

=====

[6]
The following is a GGA-PBE calculation of a relaxed Pm6C2S3N crystal, from the Alexandria database.

Calculated values
Spin magnetization = 0.00 μB per cell
Calculated total energy = -168.2 eV for the cell shown
DOS at the Fermi energy = 0.187 states/eV/atom
Formation energy (no corrections) = -1.37 eV per atom

Unit cell a=17.0952 b=3.8229 c=7.8802 alpha=90.00 beta=105.83 gamma=90.00
With the nearest neighbours (Å) after each atom.
Space group C2/m (No. 12)
One atom of each set of equivalent atoms:
Pm1 0.0084 0.0000 0.2298  1 C 2.56, 2 N 2.61
Pm2 0.1587 0.5000 0.1020  2 C 2.60, 1 N 2.61, 3 S 2.88-2.89
Pm3 0.1737 0.5000 0.5642  3 C 2.64-2.67, 3 S 2.87-2.88
C1 0.1638 0.0000 0.3286  6 Pm 2.56-2.67
S1 0.0000 0.5000 0.5000  6 Pm 2.87-2.89
S2 0.1665 0.0000 0.8334  6 Pm 2.88-2.89
N1 0.0000 0.5000 0.0000  6 Pm 2.61

=====

Among the records above, which one has the lowest DOS at the Fermi energy?
Pm6C2S3N